# 1
The following is a PBE calculation of a geometry-optimized LiPm3Th3Te8 structure, from Alexandria.

Cell lengths 8.911, 8.911, 8.911 Å; angles 59.71, 59.71, 59.71 degrees
Element x y z (fractional)
Li 0.000 0.000 0.000
Pm 0.000 0.000 0.500
Pm 0.000 0.500 0.000
Pm 0.500 0.000 0.000
Th 0.000 0.500 0.500
Th 0.500 0.000 0.500
Th 0.500 0.500 0.000
Te 0.248 0.248 0.752
Te 0.248 0.752 0.248
Te 0.248 0.752 0.752
Te 0.249 0.249 0.249
Te 0.751 0.751 0.751
Te 0.752 0.248 0.248
Te 0.752 0.248 0.752
Te 0.752 0.752 0.248

Values from the calculation:
energy: -82.0 eV/f.u.
SG: No. 166

=====

# 2
The following is a PBE calculation of a geometry-optimized Li3Pm2ThTe6 structure, from Alexandria.

Cell lengths 7.609, 7.609, 7.574 Å; angles 99.64, 99.64, 120.00 degrees
Element x y z (fractional)
Li 0.000 0.000 0.000
Li 0.333 0.667 0.000
Li 0.667 0.333 0.000
Pm 0.167 0.833 0.500
Pm 0.833 0.167 0.500
Th 0.500 0.500 0.500
Te 0.080 0.412 0.235
Te 0.257 0.257 0.764
Te 0.412 0.080 0.235
Te 0.588 0.920 0.765
Te 0.743 0.743 0.236
Te 0.920 0.588 0.765

Values from the calculation:
energy: -56.3 eV/f.u.
SG: No. 12

=====

# 3
The following is a PBE calculation of a geometry-optimized LiPm3Th2Te6 structure, from Alexandria.

Cell lengths 9.945, 9.945, 8.907 Å; angles 103.54, 103.54, 25.73 degrees
Element x y z (fractional)
Li 0.000 0.000 0.000
Pm 0.000 0.000 0.500
Pm 0.329 0.329 0.164
Pm 0.671 0.671 0.836
Th 0.329 0.329 0.654
Th 0.671 0.671 0.346
Te 0.158 0.158 0.083
Te 0.163 0.163 0.591
Te 0.499 0.499 0.761
Te 0.501 0.501 0.239
Te 0.837 0.837 0.409
Te 0.842 0.842 0.917

Values from the calculation:
energy: -64.9 eV/f.u.
SG: No. 12

=====

# 4
The following is a PBE calculation of a geometry-optimized LiPmTm2Te4 structure, from Alexandria.

Cell lengths 7.541, 4.314, 7.555 Å; angles 90.00, 109.08, 90.00 degrees
Element x y z (fractional)
Li 0.000 0.000 0.000
Pm 0.000 0.500 0.500
Tm 0.500 0.000 0.500
Tm 0.500 0.500 0.000
Te 0.251 0.500 0.243
Te 0.256 0.000 0.762
Te 0.744 0.000 0.238
Te 0.749 0.500 0.757

Values from the calculation:
energy: -38.5 eV/f.u.
SG: No. 10

=====

# 5
The following is a PBE calculation of a geometry-optimized LiPm3Tm2Te6 structure, from Alexandria.

Cell lengths 9.817, 9.817, 8.791 Å; angles 103.76, 103.76, 25.66 degrees
Element x y z (fractional)
Li 0.000 0.000 0.000
Pm 0.000 0.000 0.500
Pm 0.334 0.334 0.171
Pm 0.666 0.666 0.829
Tm 0.334 0.334 0.665
Tm 0.666 0.666 0.335
Te 0.162 0.162 0.089
Te 0.170 0.170 0.576
Te 0.497 0.497 0.764
Te 0.503 0.503 0.236
Te 0.830 0.830 0.424
Te 0.838 0.838 0.911

Values from the calculation:
energy: -59.8 eV/f.u.
SG: No. 12

=====

# 6
The following is a PBE calculation of a geometry-optimized LiPmTmTe3 structure, from Alexandria.

Cell lengths 8.890, 4.253, 9.489 Å; angles 90.00, 103.73, 90.00 degrees
Element x y z (fractional)
Li 0.084 0.250 0.085
Li 0.916 0.750 0.915
Pm 0.190 0.250 0.734
Pm 0.810 0.750 0.266
Tm 0.329 0.750 0.337
Tm 0.671 0.250 0.663
Te 0.093 0.250 0.375
Te 0.237 0.750 0.002
Te 0.432 0.750 0.670
Te 0.568 0.250 0.330
Te 0.763 0.250 0.998
Te 0.907 0.750 0.625

Values from the calculation:
energy: -28.1 eV/f.u.
SG: No. 11

=====

# 7
The following is a PBE calculation of a geometry-optimized LiPm3Tm3Te8 structure, from Alexandria.

Cell lengths 8.757, 8.757, 8.757 Å; angles 59.62, 59.62, 59.62 degrees
Element x y z (fractional)
Li 0.000 0.000 0.000
Pm 0.000 0.000 0.500
Pm 0.000 0.500 0.000
Pm 0.500 0.000 0.000
Tm 0.000 0.500 0.500
Tm 0.500 0.000 0.500
Tm 0.500 0.500 0.000
Te 0.249 0.249 0.743
Te 0.249 0.743 0.249
Te 0.254 0.254 0.254
Te 0.257 0.751 0.751
Te 0.743 0.249 0.249
Te 0.746 0.746 0.746
Te 0.751 0.257 0.751
Te 0.751 0.751 0.257

Values from the calculation:
energy: -74.6 eV/f.u.
SG: No. 166

=====

# 8
The following is a PBE calculation of a geometry-optimized LiPmUTe3 structure, from Alexandria.

Cell lengths 9.110, 4.200, 9.610 Å; angles 90.00, 106.34, 90.00 degrees
Element x y z (fractional)
Li 0.088 0.250 0.093
Li 0.912 0.750 0.907
Pm 0.180 0.250 0.740
Pm 0.820 0.750 0.260
U 0.351 0.750 0.360
U 0.649 0.250 0.640
Te 0.098 0.250 0.381
Te 0.229 0.750 0.008
Te 0.425 0.750 0.699
Te 0.575 0.250 0.301
Te 0.771 0.250 0.992
Te 0.902 0.750 0.619

Values from the calculation:
energy: -33.0 eV/f.u.
SG: No. 11